Nd3Zn2Au9 | PBE | relaxed

a = 8.677 Å, b = 8.677 Å, c = 8.677 Å
α = 150.84°, β = 106.29°, γ = 81.15°
Fractional coordinates of all 14 atoms:
1 Nd 0.000 0.000 0.000
2 Nd 0.298 0.298 0.000
3 Nd 0.702 0.702 0.000
4 Zn 0.309 0.500 0.809
5 Zn 0.691 0.500 0.191
6 Au 0.020 0.651 0.369
7 Au 0.161 0.867 0.294
8 Au 0.282 0.651 0.631
9 Au 0.427 0.133 0.294
10 Au 0.500 0.000 0.500
11 Au 0.573 0.867 0.706
12 Au 0.718 0.349 0.369
13 Au 0.839 0.133 0.706
14 Au 0.980 0.349 0.631

=====

NdZnAu | PBE | relaxed

a = 4.598 Å, b = 4.598 Å, c = 3.722 Å
α = 90.00°, β = 90.00°, γ = 120.00°
Fractional coordinates of all 3 atoms:
1 Nd 0.000 0.000 0.000
2 Zn 0.333 0.667 0.500
3 Au 0.667 0.333 0.500

=====

Nd2Zn3Au5 | PBE | relaxed

a = 8.999 Å, b = 8.999 Å, c = 8.999 Å
α = 106.49°, β = 85.72°, γ = 142.24°
Fractional coordinates of all 20 atoms:
1 Nd 0.143 0.220 0.363
2 Nd 0.357 0.720 0.076
3 Nd 0.643 0.280 0.924
4 Nd 0.857 0.780 0.637
5 Zn 0.148 0.907 0.055
6 Zn 0.250 0.750 0.500
7 Zn 0.352 0.407 0.758
8 Zn 0.648 0.593 0.242
9 Zn 0.750 0.250 0.500
10 Zn 0.852 0.093 0.945
11 Au 0.043 0.750 0.293
12 Au 0.084 0.683 0.767
13 Au 0.250 0.250 0.000
14 Au 0.416 0.183 0.599
15 Au 0.457 0.750 0.707
16 Au 0.543 0.250 0.293
17 Au 0.584 0.817 0.401
18 Au 0.750 0.750 0.000
19 Au 0.916 0.317 0.233
20 Au 0.957 0.250 0.707

relative energy among the computed polymorphs: 4 meV/atom

=====

NdZnAu4 | PBE | relaxed

a = 5.596 Å, b = 5.596 Å, c = 5.596 Å
α = 60.00°, β = 60.00°, γ = 60.00°
Fractional coordinates of all 6 atoms:
1 Nd 0.000 0.000 0.000
2 Zn 0.750 0.750 0.750
3 Au 0.376 0.376 0.376
4 Au 0.376 0.376 0.873
5 Au 0.376 0.873 0.376
6 Au 0.873 0.376 0.376

relative energy among the computed polymorphs: 20 meV/atom

=====

Nd2Zn12Au5 | PBE | relaxed

a = 7.014 Å, b = 7.014 Å, c = 7.014 Å
α = 82.96°, β = 82.96°, γ = 82.96°
Fractional coordinates of all 19 atoms:
1 Nd 0.163 0.163 0.163
2 Nd 0.837 0.837 0.837
3 Zn 0.147 0.147 0.667
4 Zn 0.147 0.667 0.147
5 Zn 0.203 0.500 0.797
6 Zn 0.203 0.797 0.500
7 Zn 0.333 0.853 0.853
8 Zn 0.500 0.203 0.797
9 Zn 0.500 0.797 0.203
10 Zn 0.667 0.147 0.147
11 Zn 0.797 0.203 0.500
12 Zn 0.797 0.500 0.203
13 Zn 0.853 0.333 0.853
14 Zn 0.853 0.853 0.333
15 Au 0.000 0.500 0.500
16 Au 0.396 0.396 0.396
17 Au 0.500 0.000 0.500
18 Au 0.500 0.500 0.000
19 Au 0.604 0.604 0.604

=====

NdZn4Au8 | PBE | relaxed

a = 7.141 Å, b = 7.141 Å, c = 7.141 Å
α = 98.22°, β = 98.22°, γ = 135.56°
Fractional coordinates of all 13 atoms:
1 Nd 0.000 0.000 0.000
2 Zn 0.000 0.000 0.500
3 Zn 0.000 0.500 0.000
4 Zn 0.500 0.000 0.000
5 Zn 0.500 0.500 0.500
6 Au 0.000 0.338 0.338
7 Au 0.000 0.662 0.662
8 Au 0.283 0.500 0.783
9 Au 0.338 0.000 0.338
10 Au 0.500 0.283 0.783
11 Au 0.500 0.717 0.217
12 Au 0.662 0.000 0.662
13 Au 0.717 0.500 0.217

=====

Electronic total energy per entry: -3.873; -3.743; -3.505; -3.569; -2.467; -3.129 eV per atom
Ρ per entry: 12.95; 9.91; 11.80; 13.37; 10.12; 13.94 Mg/m³